# 1
DFT (PBE) results for a relaxed Ni2AgTe crystal.

```
4
Lattice="-1.922 1.922 4.244 1.922 -1.922 4.244 1.922 1.922 -4.244" Properties=species:S:1:pos:R:3 pbc="T T T"
Ni 0.000 0.000 0.000
Ni 0.000 1.922 2.122
Ag 0.000 0.000 4.244
Te 1.922 0.000 2.122
```

**Volume**: 62.7 Å³ per cell
**E**: -16.70 eV per cell
**Total magnetization**: 0.0 μB per formula unit
**Space group**: I-4m2

=====

# 2
DFT (PBE) results for a relaxed Fe2NiOs2 crystal.

```
10
Lattice="7.103 0.000 0.000 0.000 7.103 0.000 0.000 0.000 2.612" Properties=species:S:1:pos:R:3 pbc="T T T"
Fe 1.171 2.380 0.000
Fe 2.380 5.932 0.000
Fe 4.722 1.171 0.000
Fe 5.932 4.722 0.000
Ni 0.000 0.000 1.306
Ni 3.551 3.551 1.306
Os 0.922 4.473 1.306
Os 2.629 0.922 1.306
Os 4.473 6.180 1.306
Os 6.180 2.629 1.306
```

**Formation energy from the elements**: 407.4 meV/atom
**Volume**: 131.8 Å³ per cell
**Total magnetization**: 0.8 μB per formula unit
**Space group**: P4/mbm

=====

Question: Among the records above, which one has the lowest total magnetization?
Answer: Ni2AgTe